Material: Pm6Nd8Mg
Method: DFT, PBE-GGA
State: optimized geometry

a b c (Å): 9.5267 9.5267 6.5979
angles (deg): 90.00 90.00 120.00
Fractional positions:
Pm (0.0915, 0.4439, 0.1685)
Pm (0.3525, 0.9085, 0.1685)
Pm (0.4439, 0.3525, 0.8315)
Pm (0.5561, 0.6475, 0.1685)
Pm (0.6475, 0.0915, 0.8315)
Pm (0.9085, 0.5561, 0.8315)
Nd (0.0382, 0.2715, 0.6784)
Nd (0.2333, 0.9618, 0.6784)
Nd (0.2715, 0.2333, 0.3216)
Nd (0.3333, 0.6667, 0.6341)
Nd (0.6667, 0.3333, 0.3659)
Nd (0.7285, 0.7667, 0.6784)
Nd (0.7667, 0.0382, 0.3216)
Nd (0.9618, 0.7285, 0.3216)
Mg (0.0000, 0.0000, 0.0000)

Summary:
Its space-group type is P-3. As for the magnetization: 0.00 Bohr magnetons per cell. For the formation energy, the calculation gives 0.1174 eV per atom.

=====

Material: Pm4Nd5Mg2
Method: DFT, PBE-GGA
State: optimized geometry

a b c (Å): 11.5879 11.5879 8.9233
angles (deg): 93.20 93.20 17.81
Fractional positions:
Pm (0.0720, 0.0720, 0.2138)
Pm (0.2886, 0.2886, 0.6795)
Pm (0.7114, 0.7114, 0.3205)
Pm (0.9280, 0.9280, 0.7862)
Nd (0.1305, 0.1305, 0.6006)
Nd (0.1831, 0.1831, 0.9698)
Nd (0.5000, 0.5000, 0.5000)
Nd (0.8169, 0.8169, 0.0302)
Nd (0.8695, 0.8695, 0.3994)
Mg (0.4455, 0.4455, 0.1241)
Mg (0.5545, 0.5545, 0.8759)

Summary:
As for the offset from the most stable computed form: 0.0 meV/atom. Its space-group type is C2/m. As for the magnetization: 0.00 Bohr magnetons per cell. For the formation energy, the calculation gives 0.0513 eV per atom.

=====

Material: Pm4Nd7Mg
Method: DFT, PBE-GGA
State: optimized geometry

a b c (Å): 5.7466 5.7466 14.3118
angles (deg): 90.00 90.00 120.00
Fractional positions:
Pm (0.3333, 0.6667, 0.1846)
Pm (0.3333, 0.6667, 0.4304)
Pm (0.6667, 0.3333, 0.5696)
Pm (0.6667, 0.3333, 0.8154)
Nd (0.0000, 0.0000, 0.2292)
Nd (0.0000, 0.0000, 0.5000)
Nd (0.0000, 0.0000, 0.7708)
Nd (0.3333, 0.6667, 0.6754)
Nd (0.3333, 0.6667, 0.9257)
Nd (0.6667, 0.3333, 0.0743)
Nd (0.6667, 0.3333, 0.3246)
Mg (0.0000, 0.0000, 0.0000)

Summary:
As for the offset from the most stable computed form: 0.0 meV/atom. Its space-group type is P-3m1. As for the magnetization: 0.00 Bohr magnetons per cell. For the formation energy, the calculation gives 0.0814 eV per atom.

=====

Material: PmNd7Mg3
Method: DFT, PBE-GGA
State: optimized geometry

a b c (Å): 7.2336 7.2336 8.4141
angles (deg): 90.00 90.00 120.00
Fractional positions:
Pm (0.0000, 0.0000, 0.0000)
Nd (0.0046, 0.5023, 0.9918)
Nd (0.3286, 0.1643, 0.3479)
Nd (0.3333, 0.6667, 0.3412)
Nd (0.4977, 0.5023, 0.9918)
Nd (0.4977, 0.9954, 0.9918)
Nd (0.8357, 0.1643, 0.3479)
Nd (0.8357, 0.6714, 0.3479)
Mg (0.1659, 0.3317, 0.6706)
Mg (0.1659, 0.8341, 0.6706)
Mg (0.6683, 0.8341, 0.6706)

Summary:
Its space-group type is P3m1. As for the magnetization: 0.00 Bohr magnetons per cell. For the formation energy, the calculation gives 0.1094 eV per atom.